Record 1
CoAuBr2: optimized geometry, PBE-GGA.

a b c (Å): 6.911 3.970 3.962
angles (deg): 89.97 90.25 124.80
Positions (direct):
Br 0.500 0.000 0.500
Co 0.000 0.500 0.500
Au 0.500 0.500 0.000
Br 0.000 0.000 0.000

Computed properties:
VASP energy in eV/atom: -3.040
Symmetry: C2/m (12)
Magnetic moment in μB per cell: 2.1
Raw formation energy in eV/atom: 0.393
Relative energy among the computed polymorphs in eV per atom: 0.353

---

Record 2
BaGaCu3: optimized geometry, PBE-GGA.

a b c (Å): 6.932 7.703 8.565
angles (deg): 108.92 90.00 90.00
Positions (direct):
Cu 0.105 0.040 0.391
Cu 0.943 0.099 0.150
Ga 0.263 0.905 0.594
Cu 0.439 0.646 0.079
Ba 0.110 0.352 0.782
Cu 0.939 0.354 0.421
Cu 0.395 0.040 0.891
Cu 0.561 0.354 0.921
Ba 0.390 0.352 0.282
Ba 0.610 0.648 0.718
Ga 0.737 0.095 0.406
Ga 0.763 0.095 0.906
Cu 0.895 0.960 0.609
Ga 0.237 0.905 0.094
Cu 0.557 0.099 0.650
Cu 0.057 0.901 0.850
Ba 0.890 0.648 0.218
Cu 0.605 0.960 0.109
Cu 0.443 0.901 0.350
Cu 0.061 0.646 0.579

Computed properties:
VASP energy in eV/atom: -3.543
Symmetry: P2_1/c (14)
Magnetic moment in μB per cell: 0.0
Relative energy among the computed polymorphs in eV per atom: 0.030

---

Record 3
CdRe2Si2: optimized geometry, PBE-GGA.

a b c (Å): 5.749 5.749 5.749
angles (deg): 138.00 138.00 60.90
Positions (direct):
Re 0.750 0.250 0.500
Cd 0.000 0.000 0.000
Re 0.250 0.750 0.500
Si 0.383 0.383 0.000
Si 0.617 0.617 0.000

Computed properties:
VASP energy in eV/atom: -7.195
Symmetry: I4/mmm (139)
Magnetic moment in μB per cell: 0.0
Raw formation energy in eV/atom: 0.137

---

Among the records above, which one has the highest VASP energy?
CoAuBr2